No. 1
Computed, not measured: MnC4 after structural relaxation at the PBE-GGA level of DFT.

E above lowest polymorph, eV per atom: 0.000

CIF file:
```
data_MnC4
_cell_length_a 2.570
_cell_length_b 2.570
_cell_length_c 6.062
_cell_angle_alpha 90.00
_cell_angle_beta 90.00
_cell_angle_gamma 120.00
_space_group_name_H-M_alt 'P 1'
_space_group_IT_number 1
loop_
_space_group_symop_operation_xyz
'x,y,z'
loop_
_atom_site_label
_atom_site_fract_x
_atom_site_fract_y
_atom_site_fract_z
Mn1 0.000 0.000 0.000
C1 0.667 0.333 0.788
C2 0.333 0.667 0.212
C3 0.667 0.333 0.544
C4 0.333 0.667 0.456
```

***

No. 2
Computed, not measured: Mn4C5 after structural relaxation at the PBE-GGA level of DFT.

E above lowest polymorph, eV per atom: 0.157

CIF file:
```
data_Mn4C5
_cell_length_a 5.712
_cell_length_b 5.712
_cell_length_c 5.150
_cell_angle_alpha 90.00
_cell_angle_beta 90.00
_cell_angle_gamma 120.00
_space_group_name_H-M_alt 'P 1'
_space_group_IT_number 1
loop_
_space_group_symop_operation_xyz
'x,y,z'
loop_
_atom_site_label
_atom_site_fract_x
_atom_site_fract_y
_atom_site_fract_z
C1 0.000 0.738 0.250
C2 0.262 0.262 0.250
C3 0.738 0.000 0.250
C4 0.000 0.262 0.750
C5 0.738 0.738 0.750
C6 0.262 0.000 0.750
C7 0.667 0.333 0.000
C8 0.333 0.667 0.500
C9 0.333 0.667 0.000
C10 0.667 0.333 0.500
Mn1 0.000 0.000 0.000
Mn2 0.000 0.000 0.500
Mn3 0.000 0.406 0.250
Mn4 0.594 0.594 0.250
Mn5 0.406 0.000 0.250
Mn6 0.000 0.594 0.750
Mn7 0.406 0.406 0.750
Mn8 0.594 0.000 0.750
```

***

No. 3
Computed, not measured: MnC2 after structural relaxation at the PBE-GGA level of DFT.

E above lowest polymorph, eV per atom: 1.038

CIF file:
```
data_MnC2
_cell_length_a 4.548
_cell_length_b 4.548
_cell_length_c 4.839
_cell_angle_alpha 90.00
_cell_angle_beta 90.00
_cell_angle_gamma 120.00
_space_group_name_H-M_alt 'P 1'
_space_group_IT_number 1
loop_
_space_group_symop_operation_xyz
'x,y,z'
loop_
_atom_site_label
_atom_site_fract_x
_atom_site_fract_y
_atom_site_fract_z
Mn1 0.000 0.000 0.000
Mn2 0.333 0.667 0.500
Mn3 0.667 0.333 0.500
C1 0.300 0.300 0.727
C2 0.700 0.000 0.727
C3 0.000 0.700 0.727
C4 0.000 0.300 0.273
C5 0.300 0.000 0.273
C6 0.700 0.700 0.273
```

***

No. 4
Computed, not measured: Mn3C2 after structural relaxation at the PBE-GGA level of DFT.

CIF file:
```
data_Mn3C2
_cell_length_a 4.972
_cell_length_b 4.972
_cell_length_c 5.278
_cell_angle_alpha 61.90
_cell_angle_beta 61.90
_cell_angle_gamma 60.00
_space_group_name_H-M_alt 'P 1'
_space_group_IT_number 1
loop_
_space_group_symop_operation_xyz
'x,y,z'
loop_
_atom_site_label
_atom_site_fract_x
_atom_site_fract_y
_atom_site_fract_z
C1 0.846 0.846 0.462
C2 0.346 0.346 0.962
C3 0.154 0.154 0.538
C4 0.654 0.654 0.038
Mn1 0.067 0.750 0.750
Mn2 0.750 0.433 0.750
Mn3 0.433 0.067 0.750
Mn4 0.250 0.567 0.250
Mn5 0.567 0.933 0.250
Mn6 0.933 0.250 0.250
```

***

No. 5
Computed, not measured: Mn5C after structural relaxation at the PBE-GGA level of DFT.

E above lowest polymorph, eV per atom: 0.115

CIF file:
```
data_Mn5C
_cell_length_a 2.517
_cell_length_b 2.517
_cell_length_c 9.479
_cell_angle_alpha 90.00
_cell_angle_beta 90.00
_cell_angle_gamma 90.00
_space_group_name_H-M_alt 'P 1'
_space_group_IT_number 1
loop_
_space_group_symop_operation_xyz
'x,y,z'
loop_
_atom_site_label
_atom_site_fract_x
_atom_site_fract_y
_atom_site_fract_z
Mn1 0.000 0.000 0.878
Mn2 0.000 0.000 0.122
Mn3 0.500 0.500 0.684
Mn4 0.500 0.500 0.316
Mn5 0.000 0.000 0.500
C1 0.500 0.500 0.000
```

***

No. 6
Computed, not measured: MnC2 after structural relaxation at the PBE-GGA level of DFT.

E above lowest polymorph, eV per atom: 0.278

CIF file:
```
data_MnC2
_cell_length_a 2.526
_cell_length_b 2.526
_cell_length_c 4.282
_cell_angle_alpha 90.00
_cell_angle_beta 90.00
_cell_angle_gamma 120.00
_space_group_name_H-M_alt 'P 1'
_space_group_IT_number 1
loop_
_space_group_symop_operation_xyz
'x,y,z'
loop_
_atom_site_label
_atom_site_fract_x
_atom_site_fract_y
_atom_site_fract_z
C1 0.667 0.333 0.545
C2 0.333 0.667 0.455
Mn1 0.000 0.000 0.000
```

***

No. 7
Computed, not measured: Mn3C2 after structural relaxation at the PBE-GGA level of DFT.

CIF file:
```
data_Mn3C2
_cell_length_a 6.798
_cell_length_b 6.798
_cell_length_c 6.798
_cell_angle_alpha 24.62
_cell_angle_beta 24.62
_cell_angle_gamma 24.62
_space_group_name_H-M_alt 'P 1'
_space_group_IT_number 1
loop_
_space_group_symop_operation_xyz
'x,y,z'
loop_
_atom_site_label
_atom_site_fract_x
_atom_site_fract_y
_atom_site_fract_z
Mn1 0.000 0.000 0.000
Mn2 0.777 0.777 0.777
Mn3 0.223 0.223 0.223
C1 0.396 0.396 0.396
C2 0.604 0.604 0.604
```

***

No. 8
Computed, not measured: MnC after structural relaxation at the PBE-GGA level of DFT.

CIF file:
```
data_MnC
_cell_length_a 2.644
_cell_length_b 2.644
_cell_length_c 4.693
_cell_angle_alpha 90.00
_cell_angle_beta 90.00
_cell_angle_gamma 90.00
_space_group_name_H-M_alt 'P 1'
_space_group_IT_number 1
loop_
_space_group_symop_operation_xyz
'x,y,z'
loop_
_atom_site_label
_atom_site_fract_x
_atom_site_fract_y
_atom_site_fract_z
C1 0.250 0.750 0.000
C2 0.750 0.250 0.000
Mn1 0.250 0.250 0.314
Mn2 0.750 0.750 0.686
```

***

So what do the calculations give for E? Going down the list: -8.76; -8.28; -7.66; -9.19; -8.99; -8.42; -9.11; -8.48 eV/atom.